## Dy2CuAg (GGA-PBE)

Data for a relaxed Dy2CuAg crystal.

abc: 3.5445 3.5445 7.1430
angles: 90.00 90.00 90.00
Closest atoms and distances in Å follow each position.
Fractional positions:
Dy (0.0000, 0.0000, 0.2361)  4 Cu 3.02, 4 Ag 3.14, 1 Dy 3.37
Dy (0.0000, 0.0000, 0.7639)  4 Cu 3.02, 4 Ag 3.14, 1 Dy 3.37
Ag (0.5000, 0.5000, 0.5000)  8 Dy 3.14
Cu (0.5000, 0.5000, 0.0000)  8 Dy 3.02

Calculated values
polymorph energy (0 for the lowest one): 0 meV/atom
magnetization: 0.000 μB/f.u.